No. 1
{
  "formula": "PmCdGe",
  "functional": "GGA-PBE",
  "state": "optimized geometry",
  "volume_a3_per_fu": 74,
  "m_tot_mub_per_cell": 0.0,
  "formation_energy_ev_per_atom": -0.52,
  "space_group": "No. 63",
  "lattice": [[4.2812, 0.0000, 0.0000], [0.0000, 17.2930, 0.0000], [0.0000, 0.0000, 4.0054]],
  "species": ["Pm", "Pm", "Pm", "Pm", "Cd", "Cd", "Cd", "Cd", "Ge", "Ge", "Ge", "Ge"],
  "fractional_positions": [[0.0000, 0.0928, 0.2500], [0.0000, 0.9072, 0.7500], [0.5000, 0.4072, 0.7500], [0.5000, 0.5928, 0.2500], [0.0000, 0.2833, 0.2500], [0.0000, 0.7167, 0.7500], [0.5000, 0.2167, 0.7500], [0.5000, 0.7833, 0.2500], [0.0000, 0.4510, 0.2500], [0.0000, 0.5490, 0.7500], [0.5000, 0.0490, 0.7500], [0.5000, 0.9510, 0.2500]]
}

No. 2
{
  "formula": "Pm12CdGe6",
  "functional": "GGA-PBE",
  "state": "optimized geometry",
  "volume_a3_per_fu": 607,
  "m_tot_mub_per_cell": 0.0,
  "formation_energy_ev_per_atom": -0.40,
  "space_group": "No. 166",
  "lattice": [[6.9713, 4.0249, 3.6047], [-6.9713, 4.0249, 3.6047], [0.0000, -8.0498, 3.6047]],
  "species": ["Pm", "Pm", "Pm", "Pm", "Pm", "Pm", "Pm", "Pm", "Pm", "Pm", "Pm", "Pm", "Cd", "Ge", "Ge", "Ge", "Ge", "Ge", "Ge"],
  "fractional_positions": [[0.0000, 0.3685, 0.6315], [0.0000, 0.6315, 0.3685], [0.0565, 0.0565, 0.3234], [0.0565, 0.3234, 0.0565], [0.3234, 0.0565, 0.0565], [0.3685, 0.0000, 0.6315], [0.3685, 0.6315, 0.0000], [0.6315, 0.0000, 0.3685], [0.6315, 0.3685, 0.0000], [0.6766, 0.9435, 0.9435], [0.9435, 0.6766, 0.9435], [0.9435, 0.9435, 0.6766], [0.5000, 0.5000, 0.5000], [0.1793, 0.7462, 0.7462], [0.2538, 0.2538, 0.8207], [0.2538, 0.8207, 0.2538], [0.7462, 0.1793, 0.7462], [0.7462, 0.7462, 0.1793], [0.8207, 0.2538, 0.2538]]
}

No. 3
{
  "formula": "PmCd4Ge2",
  "functional": "GGA-PBE",
  "state": "optimized geometry",
  "volume_a3_per_fu": 157,
  "m_tot_mub_per_cell": 0.0,
  "formation_energy_ev_per_atom": -0.21,
  "space_group": "No. 65",
  "lattice": [[4.3110, 0.0000, 0.0000], [0.0000, 16.9511, 0.0000], [0.0000, 0.0000, 4.3069]],
  "species": ["Pm", "Pm", "Cd", "Cd", "Cd", "Cd", "Cd", "Cd", "Cd", "Cd", "Ge", "Ge", "Ge", "Ge"],
  "fractional_positions": [[0.0000, 0.0000, 0.0000], [0.5000, 0.5000, 0.0000], [0.0000, 0.1808, 0.5000], [0.0000, 0.3166, 0.0000], [0.0000, 0.6834, 0.0000], [0.0000, 0.8192, 0.5000], [0.5000, 0.1834, 0.0000], [0.5000, 0.3192, 0.5000], [0.5000, 0.6808, 0.5000], [0.5000, 0.8166, 0.0000], [0.0000, 0.4268, 0.5000], [0.0000, 0.5732, 0.5000], [0.5000, 0.0732, 0.5000], [0.5000, 0.9268, 0.5000]]
}

No. 4
{
  "formula": "Pm5CdGe3",
  "functional": "GGA-PBE",
  "state": "optimized geometry",
  "volume_a3_per_fu": 234,
  "m_tot_mub_per_cell": 0.0,
  "formation_energy_ev_per_atom": -0.62,
  "space_group": "No. 193",
  "lattice": [[9.1815, 0.0000, 0.0000], [-4.5908, 7.9514, 0.0000], [0.0000, 0.0000, 6.4165]],
  "species": ["Pm", "Pm", "Pm", "Pm", "Pm", "Pm", "Pm", "Pm", "Pm", "Pm", "Cd", "Cd", "Ge", "Ge", "Ge", "Ge", "Ge", "Ge"],
  "fractional_positions": [[0.0000, 0.2961, 0.2500], [0.0000, 0.7039, 0.7500], [0.2961, 0.0000, 0.2500], [0.2961, 0.2961, 0.7500], [0.3333, 0.6667, 0.0000], [0.3333, 0.6667, 0.5000], [0.6667, 0.3333, 0.0000], [0.6667, 0.3333, 0.5000], [0.7039, 0.0000, 0.7500], [0.7039, 0.7039, 0.2500], [0.0000, 0.0000, 0.0000], [0.0000, 0.0000, 0.5000], [0.0000, 0.3651, 0.7500], [0.0000, 0.6349, 0.2500], [0.3651, 0.0000, 0.7500], [0.3651, 0.3651, 0.2500], [0.6349, 0.0000, 0.2500], [0.6349, 0.6349, 0.7500]]
}

No. 5
{
  "formula": "PmCdGe",
  "functional": "GGA-PBE",
  "state": "optimized geometry",
  "volume_a3_per_fu": 76,
  "m_tot_mub_per_cell": 0.0,
  "formation_energy_ev_per_atom": -0.38,
  "space_group": "No. 63",
  "lattice": [[3.4748, 0.0000, 0.0000], [0.0000, 17.5966, 0.0000], [0.0000, 0.0000, 5.0004]],
  "species": ["Pm", "Pm", "Pm", "Pm", "Cd", "Cd", "Cd", "Cd", "Ge", "Ge", "Ge", "Ge"],
  "fractional_positions": [[0.0000, 0.1533, 0.2500], [0.0000, 0.8467, 0.7500], [0.5000, 0.3467, 0.7500], [0.5000, 0.6533, 0.2500], [0.0000, 0.4691, 0.2500], [0.0000, 0.5309, 0.7500], [0.5000, 0.0309, 0.7500], [0.5000, 0.9691, 0.2500], [0.0000, 0.3195, 0.2500], [0.0000, 0.6805, 0.7500], [0.5000, 0.1805, 0.7500], [0.5000, 0.8195, 0.2500]]
}

No. 6
{
  "formula": "Pm7Cd2Ge2",
  "functional": "GGA-PBE",
  "state": "optimized geometry",
  "volume_a3_per_fu": 343,
  "m_tot_mub_per_cell": 0.0,
  "formation_energy_ev_per_atom": -0.27,
  "space_group": "No. 65",
  "lattice": [[4.1392, -5.5800, 0.0000], [4.1392, 5.5800, 0.0000], [0.0000, 0.0000, 7.4243]],
  "species": ["Pm", "Pm", "Pm", "Pm", "Pm", "Pm", "Pm", "Cd", "Cd", "Ge", "Ge"],
  "fractional_positions": [[0.0000, 0.0000, 0.0000], [0.0000, 0.5000, 0.2724], [0.0000, 0.5000, 0.7276], [0.5000, 0.0000, 0.2724], [0.5000, 0.0000, 0.7276], [0.5000, 0.5000, 0.2532], [0.5000, 0.5000, 0.7468], [0.1683, 0.1683, 0.5000], [0.8317, 0.8317, 0.5000], [0.2848, 0.7152, 0.0000], [0.7152, 0.2848, 0.0000]]
}